# Cd2InBiPb, optimized geometry, DFT PBE
# energy: -2.37 eV/atom
# total magnetization: 0.00 μB/atom
# D(E_F): 0.8 states/eV/f.u.
data_Cd2InBiPb
_space_group_name_H-M_alt 'P 1 21/m 1'
_space_group_IT_number 11
_space_group_name_Hall '-P 2yb'
_cell_length_a 7.107
_cell_length_b 5.139
_cell_length_c 8.523
_cell_angle_alpha 90.00
_cell_angle_beta 102.15
_cell_angle_gamma 90.00
loop_
_atom_site_label
_atom_site_fract_x
_atom_site_fract_y
_atom_site_fract_z
_atom_site_occupancy
Cd1 0.077 0.250 0.433 1
Cd2 0.362 0.750 0.546 1
In1 0.040 0.750 0.227 1
Bi1 0.446 0.250 0.755 1
Pb1 0.256 0.250 0.107 1